No. 1
Density functional theory data (PBE) for a relaxed structure of Pr5ThBr3.

```
data_Pr5ThBr3
_cell_length_a 8.2324
_cell_length_b 8.2324
_cell_length_c 5.7448
_cell_angle_alpha 90.00
_cell_angle_beta 90.00
_cell_angle_gamma 120.00
_space_group_name_H-M_alt 'P 1'
_space_group_IT_number 1
loop_
_space_group_symop_operation_xyz
'x,y,z'
loop_
_atom_site_label
_atom_site_fract_x
_atom_site_fract_y
_atom_site_fract_z
Pr1 0.0000 0.2278 0.0000
Pr2 0.3333 0.6667 0.0000
Pr3 0.2278 0.0000 0.0000
Pr4 0.6667 0.3333 0.0000
Pr5 0.7722 0.7722 0.0000
Br1 0.3821 0.0000 0.5000
Br2 0.6179 0.6179 0.5000
Br3 0.0000 0.3821 0.5000
Th1 0.0000 0.0000 0.5000
```

## Properties
Magnetic moment, μB per cell: 0.04
Total energy, eV per atom: -4.102

No. 2
Density functional theory data (PBE) for a relaxed structure of Li2Mg2CuSn2Pd.

```
data_Li2Mg2CuSn2Pd
_cell_length_a 4.5692
_cell_length_b 4.5692
_cell_length_c 6.4373
_cell_angle_alpha 90.00
_cell_angle_beta 90.00
_cell_angle_gamma 90.00
_space_group_name_H-M_alt 'P 1'
_space_group_IT_number 1
loop_
_space_group_symop_operation_xyz
'x,y,z'
loop_
_atom_site_label
_atom_site_fract_x
_atom_site_fract_y
_atom_site_fract_z
Li1 0.5000 0.5000 0.0000
Li2 0.0000 0.0000 0.5000
Cu1 0.0000 0.0000 0.0000
Sn1 0.5000 0.0000 0.7551
Sn2 0.0000 0.5000 0.2449
Mg1 0.5000 0.0000 0.2522
Mg2 0.0000 0.5000 0.7478
Pd1 0.5000 0.5000 0.5000
```

## Properties
Total energy, eV per atom: -3.400

No. 3
Density functional theory data (PBE) for a relaxed structure of LiPt2O6.

```
data_LiPt2O6
_cell_length_a 5.2198
_cell_length_b 5.2198
_cell_length_c 4.8640
_cell_angle_alpha 98.91
_cell_angle_beta 98.91
_cell_angle_gamma 120.43
_space_group_name_H-M_alt 'P 1'
_space_group_IT_number 1
loop_
_space_group_symop_operation_xyz
'x,y,z'
loop_
_atom_site_label
_atom_site_fract_x
_atom_site_fract_y
_atom_site_fract_z
Pt1 0.1567 0.8433 0.0000
Pt2 0.8252 0.1748 0.0000
O1 0.0612 0.4421 0.7686
O2 0.4195 0.0422 0.7542
O3 0.1952 0.2117 0.2333
O4 0.7883 0.8048 0.7667
O5 0.5579 0.9388 0.2314
O6 0.9578 0.5805 0.2458
Li1 0.3770 0.6230 0.5000
```

## Properties
Magnetic moment, μB per cell: 1.18
Total energy, eV per atom: -5.359
Polymorph energy (0 for the lowest one), meV/atom: 0

No. 4
Density functional theory data (PBE) for a relaxed structure of GdYTlPd2.

```
data_GdYTlPd2
_cell_length_a 3.6866
_cell_length_b 7.8250
_cell_length_c 7.8250
_cell_angle_alpha 30.74
_cell_angle_beta 90.00
_cell_angle_gamma 90.00
_space_group_name_H-M_alt 'P 1'
_space_group_IT_number 1
loop_
_space_group_symop_operation_xyz
'x,y,z'
loop_
_atom_site_label
_atom_site_fract_x
_atom_site_fract_y
_atom_site_fract_z
Gd1 0.5000 0.3656 0.3656
Y1 0.5000 0.6335 0.6335
Pd1 0.0000 0.8093 0.8093
Pd2 0.0000 0.1910 0.1910
Tl1 0.0000 0.0005 0.0005
```

## Properties
Magnetic moment, μB per cell: 0.01
Total energy, eV per atom: -5.532